PBE-GGA Sr2AgRh, optimized geometry; raw total energy = -3.5614 eV per atom; SG = No. 12
1.0
8.449 0.012 0.027
-3.418 4.135 0.001
1.614 1.328 3.053
Sr Ag Rh
2 1 1
Cartesian
0.000 0.000 0.000
5.032 0.670 1.540
-0.902 2.731 1.527
2.516 2.073 0.014